<i>
# GGA-PBE NiPdBr2, relaxed
# Calculated density = 7.2 g cm⁻³
data_NiPdBr2
_symmetry_space_group_name_H-M 'F m -3 m'
_symmetry_Int_Tables_number 225
_symmetry_space_group_name_Hall '-F 4 2 3'
_cell_length_a 6.683
_cell_length_b 6.683
_cell_length_c 6.683
_cell_angle_alpha 90.00
_cell_angle_beta 90.00
_cell_angle_gamma 90.00
loop_
_atom_site_label
_atom_site_fract_x
_atom_site_fract_y
_atom_site_fract_z
Ni1 0.000 0.000 0.000
Pd1 0.000 0.000 0.500
Br1 0.250 0.250 0.250

<ii>
# GGA-PBE NiPdBr2, relaxed
# Calculated density = 5.7 g cm⁻³
data_NiPdBr2
_symmetry_space_group_name_H-M 'I -4 2 d'
_symmetry_Int_Tables_number 122
_symmetry_space_group_name_Hall 'I -4 2bw'
_cell_length_a 5.884
_cell_length_b 5.884
_cell_length_c 10.963
_cell_angle_alpha 90.00
_cell_angle_beta 90.00
_cell_angle_gamma 90.00
loop_
_atom_site_label
_atom_site_fract_x
_atom_site_fract_y
_atom_site_fract_z
Ni1 0.000 0.000 0.000
Pd1 0.000 0.000 0.500
Br1 0.218 0.250 0.125

Preferred: <ii>; penalty for the next structure: 339 meV per atom.

<i>
# GGA-PBE Ni2PdBr, relaxed
# Calculated density = 8.3 g cm⁻³
data_Ni2PdBr
_symmetry_space_group_name_H-M 'I -4 2 d'
_symmetry_Int_Tables_number 122
_symmetry_space_group_name_Hall 'I -4 2bw'
_cell_length_a 6.861
_cell_length_b 6.861
_cell_length_c 5.186
_cell_angle_alpha 90.00
_cell_angle_beta 90.00
_cell_angle_gamma 90.00
loop_
_atom_site_label
_atom_site_fract_x
_atom_site_fract_y
_atom_site_fract_z
Ni1 0.227 0.250 0.125
Pd1 0.000 0.000 0.500
Br1 0.000 0.000 0.000

<ii>
# GGA-PBE Ni2PdBr, relaxed
# Calculated density = 8.7 g cm⁻³
data_Ni2PdBr
_symmetry_space_group_name_H-M 'F m -3 m'
_symmetry_Int_Tables_number 225
_symmetry_space_group_name_Hall '-F 4 2 3'
_cell_length_a 6.138
_cell_length_b 6.138
_cell_length_c 6.138
_cell_angle_alpha 90.00
_cell_angle_beta 90.00
_cell_angle_gamma 90.00
loop_
_atom_site_label
_atom_site_fract_x
_atom_site_fract_y
_atom_site_fract_z
Ni1 0.250 0.250 0.250
Pd1 0.000 0.000 0.000
Br1 0.000 0.000 0.500

Preferred: <i>; penalty for the next structure: 51 meV per atom.